1.
Density functional theory data (GGA-PBE) for a geometry-optimized PHF3 structure.

Cell lengths 3.9616, 3.9616, 3.9616 Å; angles 90.00, 90.00, 90.00 degrees
Atoms (fractional coordinates):
P  0.0000  0.0000  0.0000
H  0.5000  0.5000  0.5000
F  0.0000  0.0000  0.5000
F  0.0000  0.5000  0.0000
F  0.5000  0.0000  0.0000

Summary:
Magnetic moment   1.00 μB/f.u.
Volume   62 Å³/cell
Energy above the most stable polymorph in this dataset   692 meV per atom
Calculated total energy   -3.789 eV per atom

=====

2.
Density functional theory data (GGA-PBE) for a geometry-optimized P2H4F structure.

Cell lengths 3.3346, 3.3346, 16.0975 Å; angles 90.00, 90.00, 90.00 degrees
Atoms (fractional coordinates):
P  0.0000  0.0000  0.2434
P  0.0000  0.0000  0.7566
P  0.5000  0.5000  0.2566
P  0.5000  0.5000  0.7434
H  0.0000  0.0000  0.1552
H  0.0000  0.0000  0.8448
H  0.0000  0.5000  0.0000
H  0.0000  0.5000  0.5000
H  0.5000  0.0000  0.0000
H  0.5000  0.0000  0.5000
H  0.5000  0.5000  0.3448
H  0.5000  0.5000  0.6552
F  0.0000  0.0000  0.0000
F  0.5000  0.5000  0.5000

Summary:
Magnetic moment   0.17 μB/f.u.
Volume   179 Å³/cell
Calculated total energy   -3.513 eV per atom

=====

3.
Density functional theory data (GGA-PBE) for a geometry-optimized PHF4 structure.

Cell lengths 4.6598, 8.1662, 9.9758 Å; angles 90.00, 117.56, 90.00 degrees
Atoms (fractional coordinates):
P  0.1863  0.2116  0.1734
P  0.1863  0.2884  0.6734
P  0.8137  0.7116  0.3266
P  0.8137  0.7884  0.8266
H  0.3435  0.1084  0.1167
H  0.3435  0.3916  0.6167
H  0.6565  0.6084  0.3833
H  0.6565  0.8916  0.8833
F  0.0472  0.6487  0.9236
F  0.0472  0.8513  0.4236
F  0.1175  0.5829  0.3864
F  0.1175  0.9171  0.8864
F  0.2283  0.1967  0.3382
F  0.2283  0.3033  0.8382
F  0.4934  0.1624  0.7331
F  0.4934  0.3376  0.2331
F  0.5066  0.6624  0.7669
F  0.5066  0.8376  0.2669
F  0.7717  0.6967  0.1618
F  0.7717  0.8033  0.6618
F  0.8825  0.0829  0.1136
F  0.8825  0.4171  0.6136
F  0.9528  0.1487  0.5764
F  0.9528  0.3513  0.0764

Summary:
Magnetic moment   0.00 μB/f.u.
Volume   337 Å³/cell
Energy above the most stable polymorph in this dataset   0 meV per atom
Calculated total energy   -4.801 eV per atom

=====

4.
Density functional theory data (GGA-PBE) for a geometry-optimized PHF2 structure.

Cell lengths 4.5234, 6.5810, 8.1829 Å; angles 90.00, 90.00, 90.00 degrees
Atoms (fractional coordinates):
P  0.2249  0.0985  0.0689
P  0.2751  0.9015  0.5689
P  0.7249  0.4015  0.9311
P  0.7751  0.5985  0.4311
H  0.0127  0.9636  0.9976
H  0.4873  0.0364  0.4976
H  0.5127  0.5364  0.0024
H  0.9873  0.4636  0.5024
F  0.0518  0.0780  0.6320
F  0.0545  0.1326  0.2405
F  0.4455  0.8674  0.7405
F  0.4482  0.9220  0.1320
F  0.5518  0.4220  0.3680
F  0.5545  0.3674  0.7595
F  0.9455  0.6326  0.2595
F  0.9482  0.5780  0.8680

Summary:
Magnetic moment   0.00 μB/f.u.
Volume   244 Å³/cell
Energy above the most stable polymorph in this dataset   0 meV per atom
Calculated total energy   -4.593 eV per atom

=====

5.
Density functional theory data (GGA-PBE) for a geometry-optimized PHF4 structure.

Cell lengths 4.9815, 4.9815, 6.4054 Å; angles 90.00, 90.00, 90.00 degrees
Atoms (fractional coordinates):
P  0.0000  0.0000  0.0000
P  0.5000  0.5000  0.5000
H  0.0000  0.5000  0.2500
H  0.5000  0.0000  0.7500
F  0.1570  0.6985  0.1160
F  0.1985  0.3430  0.3840
F  0.3015  0.1570  0.8840
F  0.3430  0.8015  0.6160
F  0.6570  0.1985  0.6160
F  0.6985  0.8430  0.8840
F  0.8015  0.6570  0.3840
F  0.8430  0.3015  0.1160

Summary:
Magnetic moment   0.00 μB/f.u.
Volume   159 Å³/cell
Energy above the most stable polymorph in this dataset   738 meV per atom
Calculated total energy   -4.063 eV per atom

=====

6.
Density functional theory data (GGA-PBE) for a geometry-optimized PH3F structure.

Cell lengths 6.3729, 8.1777, 5.1397 Å; angles 90.00, 105.63, 90.00 degrees
Atoms (fractional coordinates):
P  0.2343  0.2440  0.0412
P  0.2343  0.2560  0.5412
P  0.7657  0.7440  0.4588
P  0.7657  0.7560  0.9588
H  0.0762  0.6572  0.0319
H  0.0762  0.8428  0.5319
H  0.2696  0.0724  0.0531
H  0.2696  0.4276  0.5531
H  0.4561  0.2078  0.6156
H  0.4561  0.2922  0.1156
H  0.5439  0.7078  0.8844
H  0.5439  0.7922  0.3844
H  0.7304  0.5724  0.4469
H  0.7304  0.9276  0.9469
H  0.9238  0.1572  0.4681
H  0.9238  0.3428  0.9681
F  0.2239  0.6166  0.0565
F  0.2239  0.8834  0.5565
F  0.7761  0.1166  0.4435
F  0.7761  0.3834  0.9435

Summary:
Magnetic moment   0.00 μB/f.u.
Volume   258 Å³/cell
Energy above the most stable polymorph in this dataset   0 meV per atom
Calculated total energy   -4.050 eV per atom

=====

Please write out number 3 again, unchanged.
Density functional theory data (GGA-PBE) for a geometry-optimized PHF4 structure.

Cell lengths 4.6598, 8.1662, 9.9758 Å; angles 90.00, 117.56, 90.00 degrees
Atoms (fractional coordinates):
P  0.1863  0.2116  0.1734
P  0.1863  0.2884  0.6734
P  0.8137  0.7116  0.3266
P  0.8137  0.7884  0.8266
H  0.3435  0.1084  0.1167
H  0.3435  0.3916  0.6167
H  0.6565  0.6084  0.3833
H  0.6565  0.8916  0.8833
F  0.0472  0.6487  0.9236
F  0.0472  0.8513  0.4236
F  0.1175  0.5829  0.3864
F  0.1175  0.9171  0.8864
F  0.2283  0.1967  0.3382
F  0.2283  0.3033  0.8382
F  0.4934  0.1624  0.7331
F  0.4934  0.3376  0.2331
F  0.5066  0.6624  0.7669
F  0.5066  0.8376  0.2669
F  0.7717  0.6967  0.1618
F  0.7717  0.8033  0.6618
F  0.8825  0.0829  0.1136
F  0.8825  0.4171  0.6136
F  0.9528  0.1487  0.5764
F  0.9528  0.3513  0.0764

Summary:
Magnetic moment   0.00 μB/f.u.
Volume   337 Å³/cell
Energy above the most stable polymorph in this dataset   0 meV per atom
Calculated total energy   -4.801 eV per atom